Computed, not measured: a geometry-optimized Pm2PuTe structure at the PBE level of DFT.

Unit cell a=5.000 b=5.000 c=4.509 alpha=90.00 beta=90.00 gamma=90.00
Fractional coordinates of all 4 atoms:
Pm: 0.000 0.500 0.000
Pm: 0.500 0.000 0.000
Pu: 0.000 0.000 0.500
Te: 0.500 0.500 0.500

Values from the calculation:
Size of the total moment   1.5739 μB per atom
Symmetry   P4/mmm
Mass density   9.75 g/cm3
Uncorrected formation energy   -437.8 meV per atom
Polymorph energy (0 for the lowest one)   18 kJ/mol of formula units
Crystal system   tetragonal
Final energy   -28.73 eV for the cell shown